Entry from Alexandria via LeMat-Bulk: a relaxed Si3NiO crystal (PBE with a Hubbard U).

Computed properties:
E, eV/atom: -4.231
SG: Pm-3m, No. 221
ΔE to the lowest computed polymorph, eV per formula unit: 0.00
Calculated density, g/cm³: 3.984
N(E_F), states/eV/cell: 1.8

Cell lengths 4.046, 4.046, 4.046 Å; angles 90.00, 90.00, 90.00 degrees
Fractional coordinates of all 5 atoms:
Ni1 0.500 0.500 0.500
Si1 0.000 0.500 0.000
Si2 0.000 0.000 0.500
Si3 0.500 0.000 0.000
O1 0.000 0.000 0.000